The following is a DFT calculation (PBE) of Pr2Pd3 after structural relaxation.

Cell lengths 4.132, 5.701, 5.701 Å; angles 72.83, 68.75, 68.75 degrees
Fractional positions:
Pr  0.227  0.273  0.273
Pr  0.773  0.727  0.727
Pd  0.500  0.703  0.297
Pd  0.000  0.000  0.000
Pd  0.500  0.297  0.703

D(E_F): 2.46 states/eV/cell
Formation energy from the elements: -0.771 eV/atom

---

The following is a DFT calculation (PBE) of ScHg2Mo after structural relaxation.

Cell lengths 3.184, 4.033, 6.198 Å; angles 90.00, 90.00, 90.00 degrees
Fractional positions:
Sc  0.500  0.500  0.736
Mo  0.000  0.000  0.503
Hg  0.000  0.000  0.996
Hg  0.500  0.500  0.265

D(E_F): 3.25 states/eV/cell
Formation energy from the elements: 0.205 eV/atom
ΔE to the lowest computed polymorph: 0.083 eV/atom

---

The following is a DFT calculation (PBE) of TaCl3 after structural relaxation.

Cell lengths 3.412, 3.412, 10.483 Å; angles 90.00, 90.00, 129.16 degrees
Each line ends with the local moment (μB).
Fractional positions:
Cl  0.000  0.000  0.438  0.00
Cl  0.000  0.000  0.062  0.00
Cl  0.500  0.500  0.750  0.12
Ta  0.500  0.500  0.250  0.00

Raw formation energy: -343.9 meV per atom
D(E_F): 2.63 states/eV/cell

---

The following is a DFT calculation (PBE) of As3Cl after structural relaxation.

Cell lengths 3.814, 3.810, 6.713 Å; angles 90.00, 90.00, 90.00 degrees
Fractional positions:
As  0.500  0.000  0.573
As  0.500  0.500  0.862
As  0.000  0.000  0.862
Cl  0.000  0.500  0.370

Raw formation energy: 66.0 meV per atom
D(E_F): 1.26 states/eV/cell
ΔE to the lowest computed polymorph: 0.059 eV/atom

---

The following is a DFT calculation (PBE) of MnCuIr2C after structural relaxation.

Cell lengths 4.031, 3.966, 4.031 Å; angles 90.00, 90.00, 90.00 degrees
Each line ends with the local moment (μB).
Fractional positions:
Cu  0.500  0.500  0.500  0.13
C  0.000  0.000  0.000  -0.09
Ir  0.000  0.000  0.500  0.32
Ir  0.500  0.000  0.000  0.09
Mn  0.000  0.500  0.000  3.23

D(E_F): 2.68 states/eV/cell
Formation energy from the elements: 0.220 eV/atom

---

The following is a DFT calculation (PBE) of ZrGa2Pd2 after structural relaxation.

Cell lengths 7.572, 7.572, 2.890 Å; angles 90.00, 90.00, 90.00 degrees
Fractional positions:
Ga  0.835  0.335  0.500
Ga  0.335  0.165  0.500
Ga  0.665  0.835  0.500
Ga  0.165  0.665  0.500
Pd  0.632  0.132  0.000
Pd  0.132  0.368  0.000
Pd  0.368  0.868  0.000
Pd  0.868  0.632  0.000
Zr  0.500  0.500  0.000
Zr  0.000  0.000  0.000

D(E_F): 5.99 states/eV/cell
Formation energy from the elements: -0.550 eV/atom
ΔE to the lowest computed polymorph: 0.078 eV/atom